# 1
First-principles (PBE) data for crystalline Zn2OsAu at its relaxed geometry, as listed in the Alexandria database.

Output
VASP energy = -4.02 eV/atom
formation enthalpy at 0 K = 239 meV per atom

CIF file:
```
data_Zn2OsAu
_chemical_formula_sum 'Zn4 Os2 Au2'
_symmetry_space_group_name_H-M 'I m m 2'
_symmetry_Int_Tables_number 44
_symmetry_space_group_name_Hall 'I 2 -2'
_cell_length_a 2.8446
_cell_length_b 4.5110
_cell_length_c 9.4853
_cell_angle_alpha 90.00
_cell_angle_beta 90.00
_cell_angle_gamma 90.00
loop_
_atom_site_label
_atom_site_type_symbol
_atom_site_fract_x
_atom_site_fract_y
_atom_site_fract_z
_atom_site_occupancy
Zn1 Zn 0.0000 0.0000 0.0000 1
Zn2 Zn 0.0000 0.5000 0.2488 1
Os1 Os 0.0000 0.5000 0.7369 1
Au1 Au 0.0000 0.0000 0.4982 1
```


# 2
First-principles (PBE) data for crystalline ZnOsAu2 at its relaxed geometry, as listed in the Alexandria database.

Output
VASP energy = -4.48 eV/atom
formation enthalpy at 0 K = 284 meV per atom

CIF file:
```
data_ZnOsAu2
_chemical_formula_sum 'Zn1 Os1 Au2'
_symmetry_space_group_name_H-M 'P 4 m m'
_symmetry_Int_Tables_number 99
_symmetry_space_group_name_Hall 'P 4 -2'
_cell_length_a 2.7900
_cell_length_b 2.7900
_cell_length_c 8.2804
_cell_angle_alpha 90.00
_cell_angle_beta 90.00
_cell_angle_gamma 90.00
loop_
_atom_site_label
_atom_site_type_symbol
_atom_site_fract_x
_atom_site_fract_y
_atom_site_fract_z
_atom_site_occupancy
Zn1 Zn 0.0000 0.0000 0.0000 1
Os1 Os 0.5000 0.5000 0.7765 1
Au1 Au 0.0000 0.0000 0.5254 1
Au2 Au 0.5000 0.5000 0.2439 1
```


# 3
First-principles (PBE) data for crystalline ZnOsAu2 at its relaxed geometry, as listed in the Alexandria database.

Output
VASP energy = -4.42 eV/atom
formation enthalpy at 0 K = 349 meV per atom

CIF file:
```
data_ZnOsAu2
_chemical_formula_sum 'Zn1 Os1 Au2'
_symmetry_space_group_name_H-M 'P m m 2'
_symmetry_Int_Tables_number 25
_symmetry_space_group_name_Hall 'P 2 -2'
_cell_length_a 2.7527
_cell_length_b 3.9800
_cell_length_c 5.9236
_cell_angle_alpha 90.00
_cell_angle_beta 90.00
_cell_angle_gamma 90.00
loop_
_atom_site_label
_atom_site_type_symbol
_atom_site_fract_x
_atom_site_fract_y
_atom_site_fract_z
_atom_site_occupancy
Zn1 Zn 0.0000 0.0000 0.0000 1
Os1 Os 0.5000 0.5000 0.7856 1
Au1 Au 0.0000 0.0000 0.5331 1
Au2 Au 0.5000 0.5000 0.2575 1
```


# 4
First-principles (PBE) data for crystalline ZnOs2Au at its relaxed geometry, as listed in the Alexandria database.

Output
VASP energy = -6.13 eV/atom
formation enthalpy at 0 K = 623 meV per atom

CIF file:
```
data_ZnOs2Au
_chemical_formula_sum 'Zn2 Os4 Au2'
_symmetry_space_group_name_H-M 'C m m m'
_symmetry_Int_Tables_number 65
_symmetry_space_group_name_Hall '-C 2 2'
_cell_length_a 5.2775
_cell_length_b 8.2277
_cell_length_c 2.8072
_cell_angle_alpha 90.00
_cell_angle_beta 90.00
_cell_angle_gamma 90.00
loop_
_atom_site_label
_atom_site_type_symbol
_atom_site_fract_x
_atom_site_fract_y
_atom_site_fract_z
_atom_site_occupancy
Zn1 Zn 0.0000 0.0000 0.0000 1
Os1 Os 0.2500 0.2500 0.5000 1
Au1 Au 0.0000 0.5000 0.0000 1
```